Hf3SiNi | PBE | relaxed

abc: 4.7373 4.7373 4.7373
angles: 90.00 90.00 90.00
Sites, in units of the cell vectors:
Ni 0.0000 0.0000 0.0000
Hf 0.5000 0.0000 0.0000
Hf 0.0000 0.0000 0.5000
Hf 0.0000 0.5000 0.0000
Si 0.5000 0.5000 0.5000

Computed properties:
The calculation puts the density of states at the Fermi level at 2.01 states/eV per cell. The value obtained for the spin magnetization is 0.000 μB per cell. Its energy above the most stable polymorph in this dataset is 0 meV/atom. Its volume is 106.3 Å³/f.u. For the mass density, the calculation gives 9.72 g/cm3.